This record from Alexandria describes a relaxed structure of HfSc2ZnMo. The functional is PBE.

Output
The magnetic moment is 0.0 μB/cell. For the formation energy, the calculation gives 0.620 eV per atom. As for the total energy: -6.32 eV/atom.

Lattice parameters (Å, degrees): 5.043 4.964 5.043 90.00 90.00 90.00
Fractional positions:
Zn (0.500, 0.500, 0.500)
Hf (0.000, 0.500, 0.000)
Sc (0.000, 0.000, 0.500)
Sc (0.500, 0.000, 0.000)
Mo (0.000, 0.000, 0.000)


This record from Alexandria describes a relaxed structure of VPb2N3. The functional is PBE.

Output
The magnetic moment is 0.0 μB/cell. As for the energy relative to the lowest polymorph listed for this composition: 76 meV/atom. As for the total energy: -6.95 eV/atom.

Lattice parameters (Å, degrees): 6.266 6.266 12.704 90.00 90.00 125.33
Fractional positions:
N (0.015, 0.485, 0.750)
N (0.092, 0.908, 0.611)
N (0.648, 0.352, 0.447)
N (0.985, 0.515, 0.250)
N (0.408, 0.592, 0.111)
N (0.852, 0.148, 0.947)
N (0.148, 0.852, 0.053)
N (0.592, 0.408, 0.889)
N (0.485, 0.015, 0.250)
N (0.352, 0.648, 0.553)
N (0.908, 0.092, 0.389)
N (0.515, 0.985, 0.750)
Pb (0.566, 0.434, 0.627)
Pb (0.868, 0.132, 0.577)
Pb (0.368, 0.632, 0.923)
Pb (0.066, 0.934, 0.873)
Pb (0.434, 0.566, 0.373)
Pb (0.132, 0.868, 0.423)
Pb (0.632, 0.368, 0.077)
Pb (0.934, 0.066, 0.127)
V (0.244, 0.756, 0.663)
V (0.756, 0.244, 0.337)
V (0.256, 0.744, 0.163)
V (0.744, 0.256, 0.837)


This record from Alexandria describes a relaxed structure of NiMoPt2Br. The functional is PBE.

Output
The magnetic moment is 0.0 μB/cell. As for the total energy: -4.80 eV/atom.

Lattice parameters (Å, degrees): 4.872 4.811 4.872 90.00 90.00 90.00
Fractional positions:
Pt (0.500, 0.000, 0.000)
Pt (0.000, 0.000, 0.500)
Mo (0.000, 0.000, 0.000)
Br (0.000, 0.500, 0.000)
Ni (0.500, 0.500, 0.500)